Entry 1:
This record from Alexandria describes a crystal of MnIrBr2 relaxed with PBEsol. The functional is meta-GGA SCAN.

Cell and atoms, written as POSCAR:
```
MnIrBr2
1.0
-1.816 1.679 -1.909
-0.963 -3.460 -2.127
-4.517 -0.898 3.507
Br Mn Ir
2 1 1
direct
0.500 0.000 0.500 Br
0.000 0.000 0.000 Br
0.000 0.500 0.500 Mn
0.500 0.500 0.000 Ir
```

Output
Symmetry: Pmmm (47)
Electronic total energy in eV/atom: -31.589
Uncorrected formation energy in meV per atom: 479
Magnetic moment in μB/f.u.: 5.00
Calculated density in Mg/m³: 8.95
Excess energy over the best structure of this formula in the dataset in meV/atom: 531.3


Entry 2:
This record from Alexandria describes a crystal of NiTeAs relaxed with PBEsol. The functional is meta-GGA SCAN.

Cell and atoms, written as POSCAR:
```
NiTeAs
1.0
-3.522 -0.626 0.975
1.978 -2.682 -1.626
1.457 -1.522 4.284
Te Ni As
1 1 1
direct
0.667 0.333 0.407 Te
0.333 0.667 0.686 Ni
0.000 0.000 0.906 As
```

Output
Symmetry: P3m1 (156)
Electronic total energy in eV/atom: -24.723
Uncorrected formation energy in meV per atom: -185
Magnetic moment in μB/f.u.: 0.00
Calculated density in Mg/m³: 7.63


Entry 3:
This record from Alexandria describes a crystal of CdCo2Rh relaxed with PBEsol. The functional is meta-GGA SCAN.

Cell and atoms, written as POSCAR:
```
CdCo2Rh
1.0
-1.809 -0.405 2.404
1.056 -4.067 0.110
3.232 0.909 2.586
Rh Co Cd
1 2 1
direct
0.500 0.500 0.000 Rh
0.500 0.000 0.500 Co
0.000 0.000 0.000 Co
0.000 0.500 0.500 Cd
```

Output
Symmetry: Pmmm (47)
Energy relative to the elements in eV per atom: 0.163
Electronic total energy in eV/atom: -24.536
Magnetic moment in μB/f.u.: 4.08
Calculated density in Mg/m³: 10.23


Entry 4:
This record from Alexandria describes a crystal of BaBi12Mo5O34 relaxed with PBEsol. The functional is meta-GGA SCAN.

Cell and atoms, written as POSCAR:
```
BaBi12Mo5O34
1.0
-2.088 3.857 -3.694
-10.539 -0.888 5.029
10.571 18.327 13.163
Mo O Bi Ba
10 68 24 2
direct
0.506 0.925 0.582 Mo
0.494 0.075 0.418 Mo
0.969 0.651 0.488 Mo
0.445 0.000 0.250 Mo
0.555 0.000 0.750 Mo
0.031 0.349 0.512 Mo
0.969 0.349 0.012 Mo
0.506 0.075 0.918 Mo
0.494 0.925 0.082 Mo
0.031 0.651 0.988 Mo
0.619 0.565 0.869 O
0.615 0.007 0.310 O
0.272 0.381 0.844 O
0.287 0.726 0.833 O
0.234 0.002 0.106 O
0.213 0.639 0.163 O
0.234 0.998 0.394 O
0.381 0.435 0.131 O
0.917 0.770 0.962 O
0.816 0.214 0.259 O
0.903 0.701 0.558 O
0.719 0.606 0.446 O
0.443 0.881 0.011 O
0.728 0.381 0.344 O
0.191 0.456 0.021 O
0.097 0.701 0.058 O
0.385 0.007 0.810 O
0.385 0.993 0.690 O
0.731 0.026 0.088 O
0.719 0.394 0.054 O
0.281 0.606 0.946 O
0.259 0.124 0.259 O
0.787 0.639 0.663 O
0.793 0.268 0.671 O
0.184 0.214 0.759 O
0.903 0.299 0.942 O
0.269 0.026 0.588 O
0.083 0.770 0.462 O
0.213 0.361 0.337 O
0.443 0.119 0.489 O
0.222 0.500 0.250 O
0.557 0.881 0.511 O
0.809 0.544 0.979 O
0.097 0.299 0.442 O
0.713 0.274 0.167 O
0.261 0.500 0.750 O
0.741 0.124 0.759 O
0.741 0.876 0.741 O
0.435 0.797 0.607 O
0.191 0.544 0.479 O
0.731 0.974 0.412 O
0.281 0.394 0.554 O
0.381 0.565 0.369 O
0.739 0.500 0.250 O
0.713 0.726 0.333 O
0.565 0.797 0.107 O
0.778 0.500 0.750 O
0.435 0.203 0.893 O
0.793 0.732 0.829 O
0.259 0.876 0.241 O
0.557 0.119 0.989 O
0.565 0.203 0.393 O
0.619 0.435 0.631 O
0.809 0.456 0.521 O
0.207 0.268 0.171 O
0.184 0.786 0.741 O
0.272 0.619 0.656 O
0.816 0.786 0.241 O
0.728 0.619 0.156 O
0.787 0.361 0.837 O
0.269 0.974 0.912 O
0.615 0.993 0.190 O
0.917 0.230 0.538 O
0.207 0.732 0.329 O
0.766 0.002 0.606 O
0.083 0.230 0.038 O
0.766 0.998 0.894 O
0.287 0.274 0.667 O
0.542 0.581 0.592 Bi
0.457 0.256 0.102 Bi
0.477 0.343 0.755 Bi
0.457 0.744 0.398 Bi
0.049 0.771 0.659 Bi
0.951 0.229 0.341 Bi
0.952 0.134 0.179 Bi
0.523 0.657 0.245 Bi
0.542 0.419 0.908 Bi
0.023 0.458 0.174 Bi
0.477 0.657 0.745 Bi
0.952 0.866 0.321 Bi
0.048 0.866 0.821 Bi
0.023 0.542 0.326 Bi
0.458 0.581 0.092 Bi
0.458 0.419 0.408 Bi
0.543 0.744 0.898 Bi
0.543 0.256 0.602 Bi
0.523 0.343 0.255 Bi
0.049 0.229 0.841 Bi
0.048 0.134 0.679 Bi
0.977 0.542 0.826 Bi
0.977 0.458 0.674 Bi
0.951 0.771 0.159 Bi
0.000 0.000 0.000 Ba
0.000 0.000 0.500 Ba
```

Output
Symmetry: P2/c (13)
Electronic total energy in eV/atom: -28.007
Uncorrected formation energy in meV per atom: -1684
Magnetic moment in μB/f.u.: 0.00
Calculated density in Mg/m³: 7.45


Entry 5:
This record from Alexandria describes a crystal of CaCS3 relaxed with PBEsol. The functional is meta-GGA SCAN.

Cell and atoms, written as POSCAR:
```
CaCS3
1.0
-2.570 -0.479 4.566
-4.547 -0.461 -2.607
0.638 -5.219 -0.189
S C Ca
3 1 1
direct
0.000 0.500 0.000 S
0.000 0.000 0.500 S
0.500 0.000 0.000 S
0.500 0.500 0.500 C
0.000 0.000 0.000 Ca
```

Output
Symmetry: Pm-3m (221)
Electronic total energy in eV/atom: -8.202
Uncorrected formation energy in meV per atom: 1528
Magnetic moment in μB/f.u.: 2.00
Calculated density in Mg/m³: 1.69


Entry 6:
This record from Alexandria describes a crystal of NiPbSe4 relaxed with PBEsol. The functional is meta-GGA SCAN.

Cell and atoms, written as POSCAR:
```
NiPbSe4
1.0
-1.700 -1.868 -5.071
3.730 -0.486 -4.236
1.583 -5.131 -1.805
Pb Se Ni
1 4 1
direct
0.000 0.000 0.000 Pb
0.376 0.376 0.871 Se
0.871 0.376 0.376 Se
0.376 0.871 0.376 Se
0.376 0.376 0.376 Se
0.750 0.750 0.750 Ni
```

Output
Symmetry: F-43m (216)
Electronic total energy in eV/atom: -27.931
Uncorrected formation energy in meV per atom: 780
Magnetic moment in μB/f.u.: 1.37
Calculated density in Mg/m³: 7.52